[1]
# PrEr4Pt4

PrEr4Pt4 after structural relaxation (PBE, the Alexandria database).

abc: 5.6793 9.1156 9.1156
angles: 90.00 90.00 90.00
Closest atoms and distances in Å follow each position.
Fractional coordinates of all 18 atoms:
Er: 0.5827 0.8982 0.6644  5 Pt 2.82-2.89
Er: 0.9173 0.3982 0.1644  5 Pt 2.82-2.89
Pt: 0.5812 0.2061 0.6305  5 Er 2.82-2.89, 1 Pr 2.97, 1 Pt 3.01
Er: 0.0827 0.8356 0.3982  5 Pt 2.82-2.89
Pt: 0.9188 0.2939 0.8695  5 Er 2.82-2.89, 1 Pr 2.97, 1 Pt 3.01
Er: 0.4173 0.6644 0.1018  5 Pt 2.82-2.89
Er: 0.0827 0.1644 0.6018  5 Pt 2.82-2.89
Pt: 0.0812 0.8695 0.7061  5 Er 2.82-2.89, 1 Pr 2.97, 1 Pt 3.01
Pt: 0.9188 0.7061 0.1305  5 Er 2.82-2.89, 1 Pr 2.97, 1 Pt 3.01
Pt: 0.4188 0.3695 0.2061  5 Er 2.82-2.89, 1 Pr 2.97, 1 Pt 3.01
Pt: 0.4188 0.6305 0.7939  5 Er 2.82-2.89, 1 Pr 2.97, 1 Pt 3.01
Pt: 0.5812 0.7939 0.3695  5 Er 2.82-2.89, 1 Pr 2.97, 1 Pt 3.01
Pr: 0.5000 0.5000 0.5000  4 Pt 2.97
Er: 0.5827 0.1018 0.3356  5 Pt 2.82-2.89
Pt: 0.0812 0.1305 0.2939  5 Er 2.82-2.89, 1 Pr 2.97, 1 Pt 3.01
Er: 0.9173 0.6018 0.8356  5 Pt 2.82-2.89
Er: 0.4173 0.3356 0.8982  5 Pt 2.82-2.89
Pr: 0.0000 0.0000 0.0000  4 Pt 2.97

Summary:
* size of the total moment: 0.00 Bohr magnetons per cell
* Fermi-level density of states: 13.9 states/eV/cell
* symmetry: No. 86
* V: 236.0 Å³/f.u.


[2]
# Pr3ErPt2

Pr3ErPt2 after structural relaxation (PBE, the Alexandria database).

abc: 8.1933 8.1933 8.1933
angles: 146.74 145.98 48.31
Closest atoms and distances in Å follow each position.
Fractional coordinates of all 6 atoms:
Pr: 0.3130 0.8130 0.5000  1 Pt 2.82
Pt: 0.1242 0.6242 0.5000  3 Pr 2.82-3.03, 2 Er 2.99
Pt: 0.8758 0.3758 0.5000  3 Pr 2.82-3.03, 2 Er 2.99
Pr: 0.5000 0.5000 0.0000  4 Pt 3.03, 4 Er 3.35
Er: 0.0000 0.0000 0.0000  4 Pt 2.99
Pr: 0.6870 0.1870 0.5000  1 Pt 2.82

Summary:
* size of the total moment: 0.00 Bohr magnetons per cell
* Fermi-level density of states: 6.5 states/eV/cell
* symmetry: No. 71
* V: 168.1 Å³/f.u.


[3]
# PrErPt2

PrErPt2 after structural relaxation (PBE, the Alexandria database).

abc: 4.1450 4.1450 7.1143
angles: 73.06 73.06 60.00
Closest atoms and distances in Å follow each position.
Fractional coordinates of all 4 atoms:
Pt: 0.7438 0.7438 0.7687  3 Er 2.85, 3 Pr 2.99
Er: 0.0000 0.0000 0.0000  6 Pt 2.85
Pt: 0.2562 0.2562 0.2313  3 Er 2.85, 3 Pr 2.99
Pr: 0.5000 0.5000 0.5000  6 Pt 2.99

Summary:
* size of the total moment: 0.00 Bohr magnetons per cell
* Fermi-level density of states: 2.2 states/eV/cell
* symmetry: No. 166
* V: 99.7 Å³/f.u.


[4]
# Pr2ErPt

Pr2ErPt after structural relaxation (PBE, the Alexandria database).

abc: 5.1075 3.6096 8.8641
angles: 90.04 90.01 45.04
Closest atoms and distances in Å follow each position.
Fractional coordinates of all 4 atoms:
Er: 0.3780 0.9995 0.8450  4 Pt 2.92
Pr: 0.8775 0.9992 0.5371  8 Pr 3.61-3.78, 4 Er 3.74
Pt: 0.8779 0.9994 0.0050  4 Er 2.92, 4 Pr 3.20-3.21
Pr: 0.3773 0.9990 0.2237  4 Pt 3.20-3.21, 1 Er 3.36

Summary:
* size of the total moment: 0.00 Bohr magnetons per cell
* Fermi-level density of states: 4.4 states/eV/cell
* symmetry: No. 99
* V: 115.6 Å³/f.u.


[5]
# PrEr2Pt

PrEr2Pt after structural relaxation (PBE, the Alexandria database).

abc: 3.5467 3.5467 8.6545
angles: 90.00 90.00 90.00
Closest atoms and distances in Å follow each position.
Fractional coordinates of all 4 atoms:
Er: 0.0000 0.0000 0.8129  4 Pt 2.99, 1 Er 3.24
Er: 0.0000 0.0000 0.1871  4 Pt 2.99, 1 Er 3.24
Pr: 0.5000 0.5000 0.5000  4 Pr 3.55, 8 Er 3.69
Pt: 0.5000 0.5000 0.0000  8 Er 2.99

Summary:
* size of the total moment: 0.00 Bohr magnetons per cell
* Fermi-level density of states: 3.7 states/eV/cell
* symmetry: No. 123
* V: 108.9 Å³/f.u.


[6]
# PrEr2Pt

PrEr2Pt after structural relaxation (PBE, the Alexandria database).

abc: 3.8201 6.6110 9.0870
angles: 90.00 90.00 106.89
Closest atoms and distances in Å follow each position.
Fractional coordinates of all 8 atoms:
Pr: 0.9407 0.8827 0.2500  2 Pt 3.19-3.20, 4 Er 3.56-3.57
Er: 0.6410 0.2817 0.0608  2 Pt 2.85
Pt: 0.2393 0.4774 0.2500  4 Er 2.85, 1 Pr 3.19
Er: 0.3590 0.7183 0.9392  2 Pt 2.85
Pt: 0.7607 0.5226 0.7500  4 Er 2.85, 1 Pr 3.19
Er: 0.6410 0.2817 0.4392  2 Pt 2.85
Pr: 0.0593 0.1173 0.7500  2 Pt 3.19-3.20, 4 Er 3.56-3.57
Er: 0.3590 0.7183 0.5608  2 Pt 2.85

Summary:
* size of the total moment: 0.00 Bohr magnetons per cell
* Fermi-level density of states: 8.5 states/eV/cell
* symmetry: No. 11
* V: 109.8 Å³/f.u.


Sequential calculated formation energy output: -1.06, -0.73, -1.09, -0.56, -0.63, -0.67 eV per atom